# BaW2Cl (PBE, optimized geometry)
data_BaW2Cl
_cell_length_a 3.3843
_cell_length_b 6.7863
_cell_length_c 4.8036
_cell_angle_alpha 90.00
_cell_angle_beta 90.07
_cell_angle_gamma 90.00
_symmetry_space_group_name_H-M 'P 1 2/m 1'
_symmetry_Int_Tables_number 10
loop_
_symmetry_equiv_pos_as_xyz
'x,y,z'
'-x,-y,-z'
'-x,y,-z'
'x,-y,z'
loop_
_atom_site_label
_atom_site_fract_x
_atom_site_fract_y
_atom_site_fract_z
Ba1 0.0000 0.0000 0.0000
W1 0.2539 0.5000 0.1797
Cl1 0.5000 0.0000 0.5000
# Fermi-level density of states ... 2.68 states/eV/cell
# Magnetization ... 0.0 μB per cell
# Energy above the most stable polymorph in this dataset ... 422 meV/atom
# E_tot ... -6.82 eV per atom


# Pm4Sm3Dy3 (PBE, optimized geometry)
data_Pm4Sm3Dy3
_cell_length_a 3.8158
_cell_length_b 13.2668
_cell_length_c 13.3229
_cell_angle_alpha 90.00
_cell_angle_beta 90.00
_cell_angle_gamma 90.00
_symmetry_space_group_name_H-M 'A m m 2'
_symmetry_Int_Tables_number 38
loop_
_symmetry_equiv_pos_as_xyz
'x,y,z'
'-x,-y,z'
'-x,y,z'
'x,-y,z'
'x,y+1/2,z+1/2'
'-x,-y+1/2,z+1/2'
'-x,y+1/2,z+1/2'
'x,-y+1/2,z+1/2'
loop_
_atom_site_label
_atom_site_fract_x
_atom_site_fract_y
_atom_site_fract_z
Pm1 0.0000 0.0000 0.0000
Pm2 0.0000 0.0000 0.2621
Pm3 0.0000 0.1301 0.6317
Sm1 0.5000 0.0000 0.4620
Sm2 0.5000 0.1691 0.1309
Dy1 0.0000 0.2478 0.8805
Dy2 0.5000 0.0000 0.8006
# Fermi-level density of states ... 19.09 states/eV/cell
# Magnetization ... 0.0 μB per cell
# Energy relative to the elements ... 0.107 eV per atom
# E_tot ... -4.59 eV per atom


# PrHoPt (PBE, optimized geometry)
data_PrHoPt
_cell_length_a 4.6748
_cell_length_b 4.6748
_cell_length_c 4.3440
_cell_angle_alpha 90.00
_cell_angle_beta 90.00
_cell_angle_gamma 120.00
_symmetry_space_group_name_H-M 'P 3 m 1'
_symmetry_Int_Tables_number 156
loop_
_symmetry_equiv_pos_as_xyz
'x,y,z'
'-y,x-y,z'
'-x+y,-x,z'
'-y,-x,z'
'-x+y,y,z'
'x,x-y,z'
loop_
_atom_site_label
_atom_site_fract_x
_atom_site_fract_y
_atom_site_fract_z
Pr1 0.0000 0.0000 0.0000
Ho1 0.6667 0.3333 0.4851
Pt1 0.3333 0.6667 0.6543
# Fermi-level density of states ... 2.79 states/eV/cell
# Magnetization ... 0.0 μB per cell
# Energy relative to the elements ... -0.657 eV per atom
# Energy above the most stable polymorph in this dataset ... 206 meV/atom
# E_tot ... -5.79 eV per atom


# Ca3AlGa4 (PBE, optimized geometry)
data_Ca3AlGa4
_cell_length_a 4.7397
_cell_length_b 5.3435
_cell_length_c 16.9877
_cell_angle_alpha 90.00
_cell_angle_beta 90.00
_cell_angle_gamma 90.00
_symmetry_space_group_name_H-M 'I m m m'
_symmetry_Int_Tables_number 71
_symmetry_space_group_name_Hall '-I 2 2'
loop_
_atom_site_label
_atom_site_fract_x
_atom_site_fract_y
_atom_site_fract_z
Ca1 0.0000 0.0000 0.0000
Ca2 0.0000 0.5000 0.2069
Al1 0.0000 0.0000 0.5000
Ga1 0.0000 0.2630 0.3748
# Fermi-level density of states ... 8.00 states/eV/cell
# Magnetization ... 0.0 μB per cell
# Energy relative to the elements ... -0.230 eV per atom
# E_tot ... -2.96 eV per atom


# NaPr8Tc2 (PBE, optimized geometry)
data_NaPr8Tc2
_cell_length_a 15.9587
_cell_length_b 7.0340
_cell_length_c 6.5473
_cell_angle_alpha 90.00
_cell_angle_beta 96.57
_cell_angle_gamma 90.00
_symmetry_space_group_name_H-M 'C 1 2/m 1'
_symmetry_Int_Tables_number 12
loop_
_symmetry_equiv_pos_as_xyz
'x,y,z'
'-x,-y,-z'
'-x,y,-z'
'x,-y,z'
'x+1/2,y+1/2,z'
'-x+1/2,-y+1/2,-z'
'-x+1/2,y+1/2,-z'
'x+1/2,-y+1/2,z'
loop_
_atom_site_label
_atom_site_fract_x
_atom_site_fract_y
_atom_site_fract_z
Na1 0.0000 0.0000 0.0000
Pr1 0.0732 0.5000 0.8329
Pr2 0.1323 0.2480 0.3867
Pr3 0.2080 0.0000 0.8791
Tc1 0.2260 0.5000 0.6897
# Fermi-level density of states ... 21.34 states/eV/cell
# Magnetization ... 0.0 μB per cell
# Energy relative to the elements ... 0.118 eV per atom
# E_tot ... -5.36 eV per atom


# BeVS2N (PBE, optimized geometry)
data_BeVS2N
_cell_length_a 4.6920
_cell_length_b 4.6920
_cell_length_c 3.5738
_cell_angle_alpha 90.00
_cell_angle_beta 90.00
_cell_angle_gamma 90.00
_symmetry_space_group_name_H-M 'P 4/m m m'
_symmetry_Int_Tables_number 123
_symmetry_space_group_name_Hall '-P 4 2'
loop_
_atom_site_label
_atom_site_fract_x
_atom_site_fract_y
_atom_site_fract_z
Be1 0.0000 0.0000 0.0000
V1 0.5000 0.5000 0.5000
S1 0.0000 0.5000 0.5000
N1 0.5000 0.5000 0.0000
# Fermi-level density of states ... 2.86 states/eV/cell
# Magnetization ... 0.0 μB per cell
# Energy above the most stable polymorph in this dataset ... 0 meV/atom
# E_tot ... -5.53 eV per atom


# PuTh2I6 (PBE, optimized geometry)
data_PuTh2I6
_cell_length_a 4.0722
_cell_length_b 4.0722
_cell_length_c 25.7725
_cell_angle_alpha 90.00
_cell_angle_beta 90.00
_cell_angle_gamma 120.00
_symmetry_space_group_name_H-M 'P -6 m 2'
_symmetry_Int_Tables_number 187
_symmetry_space_group_name_Hall 'P -6 2'
loop_
_atom_site_label
_atom_site_fract_x
_atom_site_fract_y
_atom_site_fract_z
Pu1 0.0000 0.0000 0.0000
Th1 0.3333 0.6667 0.3221
I1 0.0000 0.0000 0.2365
I2 0.0000 0.0000 0.4079
I3 0.3333 0.6667 0.0820
# Fermi-level density of states ... 12.64 states/eV/cell
# Magnetization ... 6.1 μB per cell
# E_tot ... -5.30 eV per atom


# Zr4MnP (PBE, optimized geometry)
data_Zr4MnP
_cell_length_a 7.9950
_cell_length_b 7.9950
_cell_length_c 7.9950
_cell_angle_alpha 90.00
_cell_angle_beta 90.00
_cell_angle_gamma 90.00
_symmetry_space_group_name_H-M 'F -4 3 m'
_symmetry_Int_Tables_number 216
_symmetry_space_group_name_Hall 'F -4 2 3'
loop_
_atom_site_label
_atom_site_fract_x
_atom_site_fract_y
_atom_site_fract_z
Zr1 0.1239 0.1239 0.1239
Mn1 0.2500 0.2500 0.7500
P1 0.0000 0.0000 0.5000
# Fermi-level density of states ... 33.53 states/eV/cell
# Magnetization ... 13.0 μB per cell
# Energy relative to the elements ... 0.574 eV per atom
# E_tot ... -7.55 eV per atom


# AlGaCu3 (PBE, optimized geometry)
data_AlGaCu3
_cell_length_a 2.7807
_cell_length_b 6.1323
_cell_length_c 8.2961
_cell_angle_alpha 105.72
_cell_angle_beta 99.28
_cell_angle_gamma 90.29
_symmetry_space_group_name_H-M 'P -1'
_symmetry_Int_Tables_number 2
loop_
_symmetry_equiv_pos_as_xyz
'x,y,z'
'-x,-y,-z'
loop_
_atom_site_label
_atom_site_fract_x
_atom_site_fract_y
_atom_site_fract_z
Al1 0.1880 0.3490 0.3716
Ga1 0.4144 0.4087 0.8313
Cu1 0.0234 0.2162 0.0419
Cu2 0.2153 0.8188 0.4288
Cu3 0.3870 0.9904 0.7746
# Fermi-level density of states ... 2.61 states/eV/cell
# Magnetization ... 0.0 μB per cell
# Energy relative to the elements ... -0.086 eV per atom
# Energy above the most stable polymorph in this dataset ... 0 meV/atom
# E_tot ... -3.90 eV per atom


# Nd2DyTm3Se6 (PBE, optimized geometry)
data_Nd2DyTm3Se6
_cell_length_a 17.9801
_cell_length_b 4.0511
_cell_length_c 8.3059
_cell_angle_alpha 90.00
_cell_angle_beta 104.95
_cell_angle_gamma 90.00
_symmetry_space_group_name_H-M 'C 1 2/m 1'
_symmetry_Int_Tables_number 12
loop_
_symmetry_equiv_pos_as_xyz
'x,y,z'
'-x,-y,-z'
'-x,y,-z'
'x,-y,z'
'x+1/2,y+1/2,z'
'-x+1/2,-y+1/2,-z'
'-x+1/2,y+1/2,-z'
'x+1/2,-y+1/2,z'
loop_
_atom_site_label
_atom_site_fract_x
_atom_site_fract_y
_atom_site_fract_z
Nd1 0.1684 0.0000 0.3362
Dy1 0.0000 0.5000 0.0000
Tm1 0.0000 0.5000 0.5000
Tm2 0.1698 0.0000 0.8340
Se1 0.0050 0.0000 0.7485
Se2 0.1613 0.5000 0.5947
Se3 0.1665 0.5000 0.0700
# Fermi-level density of states ... 10.11 states/eV/cell
# Magnetization ... 0.0 μB per cell
# E_tot ... -5.78 eV per atom


# TbCo2CuH8 (PBE, optimized geometry)
data_TbCo2CuH8
_cell_length_a 4.5500
_cell_length_b 4.5500
_cell_length_c 6.0524
_cell_angle_alpha 90.00
_cell_angle_beta 90.00
_cell_angle_gamma 120.00
_symmetry_space_group_name_H-M 'P -3 m 1'
_symmetry_Int_Tables_number 164
_symmetry_space_group_name_Hall '-P 3 2"'
loop_
_atom_site_label
_atom_site_fract_x
_atom_site_fract_y
_atom_site_fract_z
Tb1 0.0000 0.0000 0.0000
Co1 0.3333 0.6667 0.3413
Cu1 0.0000 0.0000 0.5000
H1 0.1450 0.2901 0.3024
H2 0.3333 0.6667 0.0854
# Fermi-level density of states ... 4.51 states/eV/cell
# Magnetization ... 0.0 μB per cell
# E_tot ... -4.07 eV per atom


# TmPaAu2 (PBE, optimized geometry)
data_TmPaAu2
_cell_length_a 3.5147
_cell_length_b 3.5147
_cell_length_c 26.8567
_cell_angle_alpha 90.00
_cell_angle_beta 90.00
_cell_angle_gamma 120.00
_symmetry_space_group_name_H-M 'R -3 m'
_symmetry_Int_Tables_number 166
_symmetry_space_group_name_Hall '-R 3 2"'
loop_
_atom_site_label
_atom_site_fract_x
_atom_site_fract_y
_atom_site_fract_z
Tm1 0.0000 0.0000 0.0000
Pa1 0.0000 0.0000 0.5000
Au1 0.0000 0.0000 0.2542
# Fermi-level density of states ... 15.28 states/eV/cell
# Magnetization ... 0.0 μB per cell
# Energy relative to the elements ... -0.350 eV per atom
# Energy above the most stable polymorph in this dataset ... 185 meV/atom
# E_tot ... -5.48 eV per atom


# Dy2ZnCu3 (PBE, optimized geometry)
data_Dy2ZnCu3
_cell_length_a 3.8213
_cell_length_b 3.8743
_cell_length_c 15.6593
_cell_angle_alpha 90.00
_cell_angle_beta 90.00
_cell_angle_gamma 90.00
_symmetry_space_group_name_H-M 'I m m 2'
_symmetry_Int_Tables_number 44
loop_
_symmetry_equiv_pos_as_xyz
'x,y,z'
'-x,-y,z'
'-x,y,z'
'x,-y,z'
'x+1/2,y+1/2,z+1/2'
'-x+1/2,-y+1/2,z+1/2'
'-x+1/2,y+1/2,z+1/2'
'x+1/2,-y+1/2,z+1/2'
loop_
_atom_site_label
_atom_site_fract_x
_atom_site_fract_y
_atom_site_fract_z
Dy1 0.0000 0.0000 0.0000
Dy2 0.0000 0.5000 0.2636
Zn1 0.0000 0.0000 0.5915
Cu1 0.0000 0.0000 0.4308
Cu2 0.0000 0.5000 0.6828
Cu3 0.0000 0.5000 0.8387
# Fermi-level density of states ... 6.64 states/eV/cell
# Magnetization ... 0.0 μB per cell
# Energy relative to the elements ... -0.247 eV per atom
# Energy above the most stable polymorph in this dataset ... 33 meV/atom
# E_tot ... -4.04 eV per atom


# Ti2Ga2Pt (PBE, optimized geometry)
data_Ti2Ga2Pt
_cell_length_a 6.5228
_cell_length_b 6.5228
_cell_length_c 7.4956
_cell_angle_alpha 90.00
_cell_angle_beta 90.00
_cell_angle_gamma 90.00
_symmetry_space_group_name_H-M 'P 4/m n c'
_symmetry_Int_Tables_number 128
_symmetry_space_group_name_Hall '-P 4 2n'
loop_
_atom_site_label
_atom_site_fract_x
_atom_site_fract_y
_atom_site_fract_z
Ti1 0.1596 0.3277 0.0000
Ga1 0.1355 0.6355 0.2500
Pt1 0.0000 0.0000 0.2985
# Fermi-level density of states ... 11.98 states/eV/cell
# Magnetization ... 0.0 μB per cell
# Energy relative to the elements ... -0.640 eV per atom
# Energy above the most stable polymorph in this dataset ... 0 meV/atom
# E_tot ... -6.22 eV per atom


# PSe2BrF (PBE, optimized geometry)
data_PSe2BrF
_cell_length_a 4.7349
_cell_length_b 4.7349
_cell_length_c 4.9301
_cell_angle_alpha 90.00
_cell_angle_beta 90.00
_cell_angle_gamma 90.00
_symmetry_space_group_name_H-M 'P 4/m m m'
_symmetry_Int_Tables_number 123
_symmetry_space_group_name_Hall '-P 4 2'
loop_
_atom_site_label
_atom_site_fract_x
_atom_site_fract_y
_atom_site_fract_z
P1 0.0000 0.0000 0.0000
Se1 0.0000 0.5000 0.0000
Br1 0.0000 0.0000 0.5000
F1 0.5000 0.5000 0.5000
# Fermi-level density of states ... 5.62 states/eV/cell
# Magnetization ... 0.0 μB per cell
# Energy above the most stable polymorph in this dataset ... 0 meV/atom
# E_tot ... -2.84 eV per atom


# SrYCd2 (PBE, optimized geometry)
data_SrYCd2
_cell_length_a 9.8664
_cell_length_b 3.8931
_cell_length_c 7.0665
_cell_angle_alpha 90.00
_cell_angle_beta 103.17
_cell_angle_gamma 90.00
_symmetry_space_group_name_H-M 'C 1 2/m 1'
_symmetry_Int_Tables_number 12
loop_
_symmetry_equiv_pos_as_xyz
'x,y,z'
'-x,-y,-z'
'-x,y,-z'
'x,-y,z'
'x+1/2,y+1/2,z'
'-x+1/2,-y+1/2,-z'
'-x+1/2,y+1/2,-z'
'x+1/2,-y+1/2,z'
loop_
_atom_site_label
_atom_site_fract_x
_atom_site_fract_y
_atom_site_fract_z
Sr1 0.0000 0.0000 0.0000
Y1 0.0000 0.5000 0.5000
Cd1 0.2448 0.0000 0.6990
# Fermi-level density of states ... 7.99 states/eV/cell
# Magnetization ... 0.0 μB per cell
# Energy relative to the elements ... -0.120 eV per atom
# E_tot ... -2.61 eV per atom


# KTcGe2Au (PBE, optimized geometry)
data_KTcGe2Au
_cell_length_a 4.7727
_cell_length_b 4.7727
_cell_length_c 5.4474
_cell_angle_alpha 90.00
_cell_angle_beta 90.00
_cell_angle_gamma 90.00
_symmetry_space_group_name_H-M 'P 4/m m m'
_symmetry_Int_Tables_number 123
_symmetry_space_group_name_Hall '-P 4 2'
loop_
_atom_site_label
_atom_site_fract_x
_atom_site_fract_y
_atom_site_fract_z
K1 0.0000 0.0000 0.0000
Tc1 0.5000 0.5000 0.5000
Ge1 0.0000 0.5000 0.5000
Au1 0.5000 0.5000 0.0000
# Fermi-level density of states ... 1.89 states/eV/cell
# Magnetization ... 0.0 μB per cell
# Energy relative to the elements ... 0.030 eV per atom
# E_tot ... -4.76 eV per atom


# AcScZnPb (PBE, optimized geometry)
data_AcScZnPb
_cell_length_a 7.6272
_cell_length_b 7.6272
_cell_length_c 7.6272
_cell_angle_alpha 90.00
_cell_angle_beta 90.00
_cell_angle_gamma 90.00
_symmetry_space_group_name_H-M 'F -4 3 m'
_symmetry_Int_Tables_number 216
_symmetry_space_group_name_Hall 'F -4 2 3'
loop_
_atom_site_label
_atom_site_fract_x
_atom_site_fract_y
_atom_site_fract_z
Ac1 0.0000 0.0000 0.0000
Sc1 0.0000 0.0000 0.5000
Zn1 0.2500 0.2500 0.2500
Pb1 0.2500 0.2500 0.7500
# Fermi-level density of states ... 14.11 states/eV/cell
# Magnetization ... 0.0 μB per cell
# Energy relative to the elements ... -0.248 eV per atom
# E_tot ... -4.10 eV per atom


# AcPmSm4Ho2 (PBE, optimized geometry)
data_AcPmSm4Ho2
_cell_length_a 5.1481
_cell_length_b 5.1721
_cell_length_c 10.3332
_cell_angle_alpha 90.00
_cell_angle_beta 90.07
_cell_angle_gamma 90.00
_symmetry_space_group_name_H-M 'P 1 2/m 1'
_symmetry_Int_Tables_number 10
loop_
_symmetry_equiv_pos_as_xyz
'x,y,z'
'-x,-y,-z'
'-x,y,-z'
'x,-y,z'
loop_
_atom_site_label
_atom_site_fract_x
_atom_site_fract_y
_atom_site_fract_z
Ac1 0.0000 0.0000 0.0000
Pm1 0.5000 0.5000 0.5000
Sm1 0.9999 0.5000 0.2561
Sm2 0.5002 0.0000 0.2572
Ho1 0.0000 0.0000 0.5000
Ho2 0.5000 0.5000 0.0000
# Fermi-level density of states ... 12.13 states/eV/cell
# Magnetization ... 0.0 μB per cell
# Energy relative to the elements ... 0.033 eV per atom
# E_tot ... -4.58 eV per atom


# Sn2HgS (PBE, optimized geometry)
data_Sn2HgS
_cell_length_a 3.8443
_cell_length_b 3.8443
_cell_length_c 24.2136
_cell_angle_alpha 90.00
_cell_angle_beta 90.00
_cell_angle_gamma 120.00
_symmetry_space_group_name_H-M 'R -3 m'
_symmetry_Int_Tables_number 166
_symmetry_space_group_name_Hall '-R 3 2"'
loop_
_atom_site_label
_atom_site_fract_x
_atom_site_fract_y
_atom_site_fract_z
Sn1 0.0000 0.0000 0.2419
Hg1 0.0000 0.0000 0.0000
S1 0.0000 0.0000 0.5000
# Fermi-level density of states ... 5.37 states/eV/cell
# Magnetization ... 0.0 μB per cell
# Energy above the most stable polymorph in this dataset ... 0 meV/atom
# E_tot ... -3.20 eV per atom